No. 1
PrGdRhAu: optimized geometry, PBE-GGA.

Lattice parameters (Å, degrees): 7.2167 7.2167 7.2167 90.00 90.00 90.00
With the nearest neighbours (Å) after each atom.
Space group F-43m (No. 216)
Asymmetric unit:
1 Pr 0.0000 0.0000 0.0000 (multiplicity 4)  4 Rh 3.12, 4 Au 3.12
2 Gd 0.0000 0.0000 0.5000 (multiplicity 4)  4 Rh 3.12, 4 Au 3.12
3 Rh 0.2500 0.2500 0.2500 (multiplicity 4)  4 Gd 3.12, 4 Pr 3.12
4 Au 0.2500 0.2500 0.7500 (multiplicity 4)  4 Gd 3.12, 4 Pr 3.12

Values from the calculation:
- energy relative to the elements (eV/atom) = -0.71
- spin magnetization (Bohr magnetons per cell) = 28.84
- energy (eV per atom) = -8.084
- crystal system = cubic

=====

No. 2
PrGdSbAu: optimized geometry, PBE-GGA.

Lattice parameters (Å, degrees): 7.5625 7.5625 7.5625 90.00 90.00 90.00
With the nearest neighbours (Å) after each atom.
Space group F-43m (No. 216)
Asymmetric unit:
1 Pr 0.0000 0.0000 0.0000 (multiplicity 4)  4 Sb 3.27, 4 Au 3.27
2 Gd 0.0000 0.0000 0.5000 (multiplicity 4)  4 Sb 3.27, 4 Au 3.27
3 Sb 0.2500 0.2500 0.7500 (multiplicity 4)  4 Gd 3.27, 4 Pr 3.27
4 Au 0.2500 0.2500 0.2500 (multiplicity 4)  4 Gd 3.27, 4 Pr 3.27

Values from the calculation:
- uncorrected formation energy (kcal/mol of atoms) = -18.8
- spin magnetization (Bohr magnetons per cell) = 32.55
- energy (eV per atom) = -7.382
- crystal system = cubic

=====

No. 3
PrGdSnAu: optimized geometry, PBE-GGA.

Lattice parameters (Å, degrees): 7.5638 7.5638 7.5638 90.00 90.00 90.00
With the nearest neighbours (Å) after each atom.
Space group F-43m (No. 216)
Asymmetric unit:
1 Pr 0.0000 0.0000 0.0000 (multiplicity 4)  4 Au 3.28, 4 Sn 3.28
2 Gd 0.0000 0.0000 0.5000 (multiplicity 4)  4 Sn 3.28, 4 Au 3.28
3 Sn 0.2500 0.2500 0.2500 (multiplicity 4)  4 Pr 3.28, 4 Gd 3.28
4 Au 0.2500 0.2500 0.7500 (multiplicity 4)  4 Gd 3.28, 4 Pr 3.28

Values from the calculation:
- energy relative to the elements (eV/atom) = -0.73
- spin magnetization (Bohr magnetons per cell) = 31.68
- energy (eV per atom) = -7.263
- crystal system = cubic

=====

No. 4
PrGdZnAu: optimized geometry, PBE-GGA.

Lattice parameters (Å, degrees): 7.3599 7.3599 7.3599 90.00 90.00 90.00
With the nearest neighbours (Å) after each atom.
Space group F-43m (No. 216)
Asymmetric unit:
1 Pr 0.0000 0.0000 0.0000 (multiplicity 4)  4 Zn 3.19, 4 Au 3.19
2 Gd 0.0000 0.0000 0.5000 (multiplicity 4)  4 Zn 3.19, 4 Au 3.19
3 Zn 0.2500 0.2500 0.7500 (multiplicity 4)  4 Gd 3.19, 4 Pr 3.19
4 Au 0.2500 0.2500 0.2500 (multiplicity 4)  4 Gd 3.19, 4 Pr 3.19

Values from the calculation:
- energy relative to the elements (eV/atom) = -0.54
- spin magnetization (Bohr magnetons per cell) = 29.30
- energy (eV per atom) = -6.392
- crystal system = cubic

=====

No. 5
GdPt4Au: optimized geometry, PBE-GGA.

Lattice parameters (Å, degrees): 7.5906 7.5906 7.5906 90.00 90.00 90.00
With the nearest neighbours (Å) after each atom.
Space group F-43m (No. 216)
Asymmetric unit:
1 Gd 0.0000 0.0000 0.0000 (multiplicity 4)  12 Pt 3.15, 4 Au 3.29
2 Pt 0.1245 0.1245 0.6245 (multiplicity 16)  6 Pt 2.67-2.69
3 Au 0.2500 0.2500 0.2500 (multiplicity 4)  12 Pt 3.15, 4 Gd 3.29

Values from the calculation:
- energy relative to the elements (eV/atom) = -0.71
- spin magnetization (Bohr magnetons per cell) = 27.63
- energy (eV per atom) = -7.626
- crystal system = cubic

=====

No. 6
GdPt2Au: optimized geometry, PBE-GGA.

Lattice parameters (Å, degrees): 6.7437 6.7437 6.7437 90.00 90.00 90.00
With the nearest neighbours (Å) after each atom.
Space group Fm-3m (No. 225)
Asymmetric unit:
1 Gd 0.0000 0.0000 0.0000 (multiplicity 4)  8 Pt 2.92
2 Pt 0.2500 0.2500 0.2500 (multiplicity 8)  4 Gd 2.92, 4 Au 2.92
3 Au 0.0000 0.0000 0.5000 (multiplicity 4)  8 Pt 2.92

Values from the calculation:
- energy relative to the elements (eV/atom) = -0.69
- spin magnetization (Bohr magnetons per cell) = 28.45
- energy (eV per atom) = -8.050
- crystal system = cubic